## Nd8CoSi3Cl4 (PBE)

Data for crystalline Nd8CoSi3Cl4 at its relaxed geometry.

Summary:
volume	26.92	A^3/atom
E_form (uncorrected)	-1642	kJ/mol of formula units
density of states at the Fermi level	11.15	states/eV/f.u.
E_tot	-85.92	eV/f.u.
symmetry	C2/m (12)

Cell lengths 8.410, 8.544, 8.410 Å; angles 119.48, 120.00, 90.00 degrees
Fractional positions:
Nd: 0.231 0.716 0.985
Nd: 0.232 0.717 0.464
Nd: 0.257 0.272 0.515
Nd: 0.755 0.716 0.985
Nd: 0.245 0.284 0.015
Nd: 0.743 0.728 0.485
Nd: 0.768 0.283 0.536
Nd: 0.769 0.284 0.015
Co: 0.000 0.500 0.000
Si: 0.500 0.500 0.000
Si: 0.500 0.500 0.500
Si: 0.000 0.500 0.500
Cl: 0.500 0.000 0.000
Cl: 0.500 0.000 0.500
Cl: 0.000 0.000 0.000
Cl: 0.000 0.000 0.500

## HfZrHgMo (PBE)

Data for crystalline HfZrHgMo at its relaxed geometry.

Summary:
volume	19.93	A^3/atom
density of states at the Fermi level	2.99	states/eV/f.u.
energy relative to the elements	-20	meV/atom
E_tot	-29.71	eV/f.u.
symmetry	F-43m (216)

Cell lengths 4.831, 4.831, 4.831 Å; angles 60.00, 60.00, 60.00 degrees
Fractional positions:
Mo: 0.000 0.000 0.000
Hf: 0.750 0.750 0.750
Hg: 0.500 0.500 0.500
Zr: 0.250 0.250 0.250

## RbPmIn2Br6 (PBE)

Data for crystalline RbPmIn2Br6 at its relaxed geometry.

Summary:
volume	42.13	A^3/atom
E_form (uncorrected)	-1331	kJ/mol of formula units
density of states at the Fermi level	0.00	states/eV/f.u.
E_tot	-35.03	eV/f.u.
symmetry	P1 (1)

Cell lengths 8.260, 8.258, 8.585 Å; angles 61.22, 61.21, 59.95 degrees
Fractional positions:
Rb: 0.812 0.812 0.565
Pm: 0.323 0.323 0.031
In: 0.522 0.522 0.434
In: 0.014 0.014 0.958
Br: 0.566 0.217 0.241
Br: 0.217 0.975 0.241
Br: 0.975 0.567 0.241
Br: 0.402 0.687 0.768
Br: 0.687 0.143 0.768
Br: 0.143 0.402 0.768

## Sr2LiAsP (PBE)

Data for crystalline Sr2LiAsP at its relaxed geometry.

Summary:
volume	30.22	A^3/atom
density of states at the Fermi level	5.82	states/eV/f.u.
energy relative to the elements	-688	meV/atom
E_tot	-18.78	eV/f.u.
symmetry	P4/mmm (123)

Cell lengths 5.792, 4.503, 5.792 Å; angles 90.00, 90.00, 90.00 degrees
Fractional positions:
Sr: 0.000 0.000 0.500
Sr: 0.500 0.000 0.000
As: 0.500 0.500 0.500
Li: 0.000 0.500 0.000
P: 0.000 0.000 0.000